Entry 1
Computed, not measured: crystalline CuReSbI2 at its relaxed geometry at the PBE level of DFT.

Structure (extended XYZ):
```
5
Lattice="5.265 0.000 0.000 0.000 5.265 0.000 0.000 0.000 5.334" Properties=species:S:1:pos:R:3 pbc="T T T"
Cu 0.000 0.000 0.000
Re 2.632 2.632 2.667
Sb 0.000 0.000 2.667
I 0.000 2.632 0.000
I 2.632 0.000 0.000
```

Calculated values
Space group: P4/mmm, No. 123
Density of states at the Fermi level (states/eV/cell): 3.359

Entry 2
Computed, not measured: crystalline CuReSbI2 at its relaxed geometry at the PBE level of DFT.

Structure (extended XYZ):
```
5
Lattice="5.579 0.000 0.000 0.000 5.579 0.000 0.000 0.000 5.095" Properties=species:S:1:pos:R:3 pbc="T T T"
Cu 0.000 0.000 0.000
Re 2.790 2.790 2.548
Sb 2.790 2.790 0.000
I 0.000 2.790 2.548
I 2.790 0.000 2.548
```

Calculated values
Space group: P4/mmm, No. 123
Density of states at the Fermi level (states/eV/cell): 4.727

Most stable to least stable: entry 2, entry 1

Entry 1
Computed, not measured: crystalline Cu2Rh2I at its relaxed geometry at the PBE level of DFT.

Structure (extended XYZ):
```
10
Lattice="6.894 0.000 0.000 0.000 6.894 0.000 0.000 0.000 3.344" Properties=species:S:1:pos:R:3 pbc="T T T"
Cu 0.890 2.557 0.000
Cu 2.557 6.004 0.000
Cu 4.337 0.890 0.000
Cu 6.004 4.337 0.000
Rh 1.113 4.560 1.672
Rh 2.333 1.113 1.672
Rh 4.560 5.780 1.672
Rh 5.780 2.333 1.672
I 0.000 0.000 0.000
I 3.447 3.447 0.000
```

Calculated values
Space group: P4/mbm, No. 127
Density of states at the Fermi level (states/eV/cell): 14.935

Entry 2
Computed, not measured: crystalline Cu2Rh2I at its relaxed geometry at the PBE level of DFT.

Structure (extended XYZ):
```
10
Lattice="3.716 0.000 0.000 0.000 3.716 0.000 0.000 0.000 12.743" Properties=species:S:1:pos:R:3 pbc="T T T"
Cu 0.000 0.000 1.341
Cu 0.000 0.000 11.402
Cu 1.858 1.858 5.031
Cu 1.858 1.858 7.712
Rh 0.000 1.858 3.186
Rh 0.000 1.858 9.557
Rh 1.858 0.000 3.186
Rh 1.858 0.000 9.557
I 0.000 0.000 6.372
I 1.858 1.858 0.000
```

Calculated values
Space group: I4/mmm, No. 139
Density of states at the Fermi level (states/eV/cell): 16.038

Most stable to least stable: entry 1, entry 2